VASP calculation (GGA-PBE) on a geometry-optimized Li2ScPb structure.

CIF file:
```
data_Li2ScPb
_chemical_formula_sum 'Li2 Sc1 Pb1'
_cell_length_a 4.2399
_cell_length_b 4.2399
_cell_length_c 4.7245
_cell_angle_alpha 90.00
_cell_angle_beta 90.00
_cell_angle_gamma 90.00
_symmetry_space_group_name_H-M 'P 4/m m m'
_symmetry_Int_Tables_number 123
_symmetry_space_group_name_Hall '-P 4 2'
loop_
_atom_site_label
_atom_site_fract_x
_atom_site_fract_y
_atom_site_fract_z
Li1 0.0000 0.5000 0.0000
Sc1 0.0000 0.0000 0.5000
Pb1 0.5000 0.5000 0.5000
```

DOS at the Fermi energy	0.525	states/eV/atom
V	21.233	Å³/atom
DFT total energy	-14.87	eV/f.u.


VASP calculation (GGA-PBE) on a geometry-optimized Li4ScPb5 structure.

CIF file:
```
data_Li4ScPb5
_chemical_formula_sum 'Li4 Sc1 Pb5'
_cell_length_a 3.5423
_cell_length_b 3.5423
_cell_length_c 18.3458
_cell_angle_alpha 90.00
_cell_angle_beta 90.00
_cell_angle_gamma 90.00
_symmetry_space_group_name_H-M 'P 4/m m m'
_symmetry_Int_Tables_number 123
_symmetry_space_group_name_Hall '-P 4 2'
loop_
_atom_site_label
_atom_site_fract_x
_atom_site_fract_y
_atom_site_fract_z
Li1 0.0000 0.0000 0.0967
Li2 0.0000 0.0000 0.2925
Sc1 0.0000 0.0000 0.5000
Pb1 0.5000 0.5000 0.0000
Pb2 0.5000 0.5000 0.1958
Pb3 0.5000 0.5000 0.3901
```

DOS at the Fermi energy	0.567	states/eV/atom
V	23.020	Å³/atom
DFT total energy	-35.26	eV/f.u.


VASP calculation (GGA-PBE) on a geometry-optimized Li2ScPb structure.

CIF file:
```
data_Li2ScPb
_chemical_formula_sum 'Li2 Sc1 Pb1'
_cell_length_a 3.3872
_cell_length_b 5.1288
_cell_length_c 5.1134
_cell_angle_alpha 90.00
_cell_angle_beta 92.73
_cell_angle_gamma 90.00
_symmetry_space_group_name_H-M 'P 1 2/m 1'
_symmetry_Int_Tables_number 10
loop_
_symmetry_equiv_pos_as_xyz
'x,y,z'
'-x,-y,-z'
'-x,y,-z'
'x,-y,z'
loop_
_atom_site_label
_atom_site_fract_x
_atom_site_fract_y
_atom_site_fract_z
Li1 0.1827 0.0000 0.2518
Sc1 0.5000 0.5000 0.0000
Pb1 0.0000 0.5000 0.5000
```

DOS at the Fermi energy	0.586	states/eV/atom
V	22.183	Å³/atom
DFT total energy	-14.53	eV/f.u.


VASP calculation (GGA-PBE) on a geometry-optimized Li2ScPb2 structure.

CIF file:
```
data_Li2ScPb2
_chemical_formula_sum 'Li4 Sc2 Pb4'
_cell_length_a 4.1480
_cell_length_b 4.1480
_cell_length_c 13.1575
_cell_angle_alpha 90.00
_cell_angle_beta 90.00
_cell_angle_gamma 90.00
_symmetry_space_group_name_H-M 'I 4/m m m'
_symmetry_Int_Tables_number 139
_symmetry_space_group_name_Hall '-I 4 2'
loop_
_atom_site_label
_atom_site_fract_x
_atom_site_fract_y
_atom_site_fract_z
Li1 0.0000 0.5000 0.2500
Sc1 0.0000 0.0000 0.0000
Pb1 0.0000 0.0000 0.3897
```

relative energy among the computed polymorphs	0.046	eV/atom
DOS at the Fermi energy	0.349	states/eV/atom
V	22.638	Å³/atom
DFT total energy	-18.67	eV/f.u.


VASP calculation (GGA-PBE) on a geometry-optimized LiScPb2 structure.

CIF file:
```
data_LiScPb2
_chemical_formula_sum 'Li3 Sc3 Pb6'
_cell_length_a 4.3414
_cell_length_b 4.3414
_cell_length_c 19.3732
_cell_angle_alpha 90.00
_cell_angle_beta 90.00
_cell_angle_gamma 120.00
_symmetry_space_group_name_H-M 'R 3 m'
_symmetry_Int_Tables_number 160
_symmetry_space_group_name_Hall 'R 3 -2"'
loop_
_atom_site_label
_atom_site_fract_x
_atom_site_fract_y
_atom_site_fract_z
Li1 0.0000 0.0000 0.0000
Sc1 0.0000 0.0000 0.8194
Pb1 0.0000 0.0000 0.2475
Pb2 0.0000 0.0000 0.4039
```

relative energy among the computed polymorphs	0.219	eV/atom
DOS at the Fermi energy	0.679	states/eV/atom
V	26.352	Å³/atom
DFT total energy	-16.06	eV/f.u.


VASP calculation (GGA-PBE) on a geometry-optimized Li2ScPb2 structure.

CIF file:
```
data_Li2ScPb2
_chemical_formula_sum 'Li4 Sc2 Pb4'
_cell_length_a 8.1653
_cell_length_b 8.1653
_cell_length_c 3.2251
_cell_angle_alpha 90.00
_cell_angle_beta 90.00
_cell_angle_gamma 90.00
_symmetry_space_group_name_H-M 'P 4/m b m'
_symmetry_Int_Tables_number 127
_symmetry_space_group_name_Hall '-P 4 2ab'
loop_
_atom_site_label
_atom_site_fract_x
_atom_site_fract_y
_atom_site_fract_z
Li1 0.1144 0.3856 0.0000
Sc1 0.0000 0.0000 0.0000
Pb1 0.1819 0.6819 0.5000
```

relative energy among the computed polymorphs	0.000	eV/atom
DOS at the Fermi energy	0.295	states/eV/atom
V	21.503	Å³/atom
DFT total energy	-18.90	eV/f.u.


VASP calculation (GGA-PBE) on a geometry-optimized LiScPb2 structure.

CIF file:
```
data_LiScPb2
_chemical_formula_sum 'Li2 Sc2 Pb4'
_cell_length_a 7.1576
_cell_length_b 7.7506
_cell_length_c 3.4495
_cell_angle_alpha 90.00
_cell_angle_beta 90.11
_cell_angle_gamma 90.00
_symmetry_space_group_name_H-M 'C 1 2/m 1'
_symmetry_Int_Tables_number 12
loop_
_symmetry_equiv_pos_as_xyz
'x,y,z'
'-x,-y,-z'
'-x,y,-z'
'x,-y,z'
'x+1/2,y+1/2,z'
'-x+1/2,-y+1/2,-z'
'-x+1/2,y+1/2,-z'
'x+1/2,-y+1/2,z'
loop_
_atom_site_label
_atom_site_fract_x
_atom_site_fract_y
_atom_site_fract_z
Li1 0.0000 0.0000 0.0000
Sc1 0.0000 0.5000 0.0000
Pb1 0.2500 0.2500 0.5000
```

relative energy among the computed polymorphs	0.007	eV/atom
DOS at the Fermi energy	0.532	states/eV/atom
V	23.921	Å³/atom
DFT total energy	-16.91	eV/f.u.


VASP calculation (GGA-PBE) on a geometry-optimized LiScPb2 structure.

CIF file:
```
data_LiScPb2
_chemical_formula_sum 'Li1 Sc1 Pb2'
_cell_length_a 3.3604
_cell_length_b 3.3604
_cell_length_c 8.7062
_cell_angle_alpha 90.00
_cell_angle_beta 90.00
_cell_angle_gamma 90.00
_symmetry_space_group_name_H-M 'P 4/m m m'
_symmetry_Int_Tables_number 123
_symmetry_space_group_name_Hall '-P 4 2'
loop_
_atom_site_label
_atom_site_fract_x
_atom_site_fract_y
_atom_site_fract_z
Li1 0.0000 0.0000 0.0000
Sc1 0.0000 0.0000 0.5000
Pb1 0.5000 0.5000 0.2464
```

relative energy among the computed polymorphs	0.040	eV/atom
DOS at the Fermi energy	0.812	states/eV/atom
V	24.578	Å³/atom
DFT total energy	-16.78	eV/f.u.


VASP calculation (GGA-PBE) on a geometry-optimized Li2ScPb structure.

CIF file:
```
data_Li2ScPb
_chemical_formula_sum 'Li6 Sc3 Pb3'
_cell_length_a 3.2756
_cell_length_b 3.2756
_cell_length_c 30.3598
_cell_angle_alpha 90.00
_cell_angle_beta 90.00
_cell_angle_gamma 120.00
_symmetry_space_group_name_H-M 'R -3 m'
_symmetry_Int_Tables_number 166
_symmetry_space_group_name_Hall '-R 3 2"'
loop_
_atom_site_label
_atom_site_fract_x
_atom_site_fract_y
_atom_site_fract_z
Li1 0.0000 0.0000 0.2470
Sc1 0.0000 0.0000 0.0000
Pb1 0.0000 0.0000 0.5000
```

DOS at the Fermi energy	0.780	states/eV/atom
V	23.509	Å³/atom
DFT total energy	-13.81	eV/f.u.


VASP calculation (GGA-PBE) on a geometry-optimized Li3Sc2Pb4 structure.

CIF file:
```
data_Li3Sc2Pb4
_chemical_formula_sum 'Li3 Sc2 Pb4'
_cell_length_a 4.7291
_cell_length_b 4.7291
_cell_length_c 10.8249
_cell_angle_alpha 90.00
_cell_angle_beta 90.00
_cell_angle_gamma 120.00
_symmetry_space_group_name_H-M 'P -3 m 1'
_symmetry_Int_Tables_number 164
_symmetry_space_group_name_Hall '-P 3 2"'
loop_
_atom_site_label
_atom_site_fract_x
_atom_site_fract_y
_atom_site_fract_z
Li1 0.0000 0.0000 0.0000
Li2 0.3333 0.6667 0.5531
Sc1 0.3333 0.6667 0.2293
Pb1 0.0000 0.0000 0.3511
Pb2 0.3333 0.6667 0.9028
```

DOS at the Fermi energy	0.433	states/eV/atom
V	23.298	Å³/atom
DFT total energy	-35.76	eV/f.u.


Number 1: DFT formation energy -0.250 eV per atom, magnetic moment 0.00 μB per formula unit. Number 2: DFT formation energy -0.273 eV per atom, magnetic moment 0.00 μB per formula unit. Number 3: DFT formation energy -0.164 eV per atom, magnetic moment 0.00 μB per formula unit. Number 4: DFT formation energy -0.218 eV per atom, magnetic moment 0.00 μB per formula unit. Number 5: DFT formation energy -0.101 eV per atom, magnetic moment 0.00 μB per formula unit. Number 6: DFT formation energy -0.264 eV per atom, magnetic moment 0.48 μB per formula unit. Number 7: DFT formation energy -0.312 eV per atom, magnetic moment 0.00 μB per formula unit. Number 8: DFT formation energy -0.279 eV per atom, magnetic moment 0.26 μB per formula unit. Number 9: DFT formation energy 0.014 eV per atom, magnetic moment 0.01 μB per formula unit. Number 10: DFT formation energy -0.280 eV per atom, magnetic moment 0.00 μB per formula unit.